No. 1
MnRu2Br (GGA-PBE, relaxed); space-group type = I4/mmm (139); total DFT energy (no corrections) = -0.239 Ha/atom; formation energy (no corrections) = 0.842 eV per atom; ΔE to the lowest computed polymorph = 0.429 eV per atom
1.0
-2.045 2.045 3.575
2.045 -2.045 3.575
2.045 2.045 -3.575
Mn Ru Br
1 2 1
direct
0.000 0.000 0.000 Mn
0.250 0.750 0.500 Ru
0.750 0.250 0.500 Ru
0.500 0.500 0.000 Br

No. 2
TePtSeN2 (GGA-PBE, relaxed); space-group type = P4/mmm (123); total DFT energy (no corrections) = -0.159 Ha/atom; formation energy (no corrections) = 1.528 eV per atom; ΔE to the lowest computed polymorph = 0.417 eV per atom
1.0
3.750 0.000 0.000
0.000 3.750 0.000
0.000 0.000 7.673
Te Pt Se N
1 1 1 2
direct
0.000 0.000 0.000 Te
0.500 0.500 0.000 Pt
0.000 0.000 0.500 Se
0.000 0.500 0.500 N
0.500 0.000 0.500 N

No. 3
Nd2NbCr2N6 (GGA-PBE, relaxed); space-group type = R-3m (166); total DFT energy (no corrections) = -0.323 Ha/atom; formation energy (no corrections) = -0.713 eV per atom
1.0
2.898 1.673 5.279
-2.898 1.673 5.279
0.000 -3.346 5.279
Nd Nb Cr N
2 1 2 6
direct
0.214 0.214 0.214 Nd
0.786 0.786 0.786 Nd
0.000 0.000 0.000 Nb
0.434 0.434 0.434 Cr
0.566 0.566 0.566 Cr
0.240 0.756 0.756 N
0.244 0.244 0.760 N
0.244 0.760 0.244 N
0.756 0.240 0.756 N
0.756 0.756 0.240 N
0.760 0.244 0.244 N

No. 4
AlBiPb2 (GGA-PBE, relaxed); space-group type = P4/mmm (123); total DFT energy (no corrections) = -0.132 Ha/atom; E_form = 173 meV/atom; ΔE to the lowest computed polymorph = 0.000 eV per atom
1.0
5.104 0.000 0.000
0.000 5.104 0.000
0.000 0.000 4.480
Al Bi Pb
1 1 2
direct
0.000 0.000 0.000 Al
0.500 0.500 0.000 Bi
0.000 0.500 0.500 Pb
0.500 0.000 0.500 Pb

No. 5
Sr2TiPdRh (GGA-PBE, relaxed); space-group type = P4/mmm (123); total DFT energy (no corrections) = -0.144 Ha/atom; E_form = 830 meV/atom
1.0
5.846 0.000 0.000
0.000 5.846 0.000
0.000 0.000 4.500
Sr Ti Pd Rh
2 1 1 1
direct
0.000 0.500 0.000 Sr
0.500 0.000 0.000 Sr
0.000 0.000 0.000 Ti
0.000 0.000 0.500 Pd
0.500 0.500 0.500 Rh

No. 6
LaPCO2 (GGA-PBE, relaxed); space-group type = P4/mmm (123); total DFT energy (no corrections) = -0.194 Ha/atom; formation energy (no corrections) = 0.610 eV per atom; ΔE to the lowest computed polymorph = 0.938 eV per atom
1.0
4.123 0.000 0.000
0.000 4.123 0.000
0.000 0.000 7.094
La P C O
1 1 1 2
direct
0.000 0.000 0.000 La
0.000 0.000 0.500 P
0.500 0.500 0.500 C
0.000 0.500 0.000 O
0.500 0.000 0.000 O

No. 7
PuAl11Co (GGA-PBE, relaxed); space-group type = C2/m (12); total DFT energy (no corrections) = -0.184 Ha/atom; E_form = -191 meV/atom
1.0
2.574 -6.267 0.000
2.574 6.267 0.000
-2.362 0.000 6.661
Pu Al Co
1 11 1
direct
0.000 0.000 0.000 Pu
0.000 0.000 0.500 Al
0.000 0.500 0.000 Al
0.018 0.362 0.359 Al
0.289 0.501 0.773 Al
0.362 0.018 0.359 Al
0.499 0.711 0.227 Al
0.500 0.000 0.000 Al
0.501 0.289 0.773 Al
0.638 0.982 0.641 Al
0.711 0.499 0.227 Al
0.982 0.638 0.641 Al
0.500 0.500 0.500 Co

No. 8
TlPtBr (GGA-PBE, relaxed); space-group type = F-43m (216); total DFT energy (no corrections) = -0.120 Ha/atom; formation energy (no corrections) = 0.084 eV per atom; ΔE to the lowest computed polymorph = 0.064 eV per atom
1.0
0.000 3.361 3.361
3.361 0.000 3.361
3.361 3.361 0.000
Tl Pt Br
1 1 1
direct
0.000 0.000 0.000 Tl
0.250 0.250 0.250 Pt
0.500 0.500 0.500 Br